--- one ---
TaCdFeSi (PBE, optimized geometry); spin magnetization = 1.9 Bohr magnetons per cell
1.0
0.000 3.141 3.141
3.141 0.000 3.141
3.141 3.141 0.000
Ta Cd Fe Si
1 1 1 1
direct
0.000 0.000 0.000
0.750 0.750 0.750
0.500 0.500 0.500
0.250 0.250 0.250

=====

--- two ---
TaCdFeSi (PBE, optimized geometry); spin magnetization = 0.8 Bohr magnetons per cell
1.0
0.000 3.136 3.136
3.136 0.000 3.136
3.136 3.136 0.000
Ta Cd Fe Si
1 1 1 1
direct
0.000 0.000 0.000
0.250 0.250 0.250
0.750 0.750 0.750
0.500 0.500 0.500

=====

Which is the most stable structure? one is the most stable.

=====

--- one ---
ZrCdFeSi (PBE, optimized geometry); spin magnetization = 0.0 Bohr magnetons per cell
1.0
0.000 3.176 3.176
3.176 0.000 3.176
3.176 3.176 0.000
Zr Cd Fe Si
1 1 1 1
direct
0.000 0.000 0.000
0.250 0.250 0.250
0.750 0.750 0.750
0.500 0.500 0.500

=====

--- two ---
ZrCdFeSi (PBE, optimized geometry); spin magnetization = 2.0 Bohr magnetons per cell
1.0
0.000 3.218 3.218
3.218 0.000 3.218
3.218 3.218 0.000
Zr Cd Fe Si
1 1 1 1
direct
0.000 0.000 0.000
0.750 0.750 0.750
0.500 0.500 0.500
0.250 0.250 0.250

=====

Which is the most stable structure? two is the most stable.

=====

--- one ---
YCdFeSn (PBE, optimized geometry); spin magnetization = 1.9 Bohr magnetons per cell
1.0
0.000 3.466 3.466
3.466 0.000 3.466
3.466 3.466 0.000
Y Cd Fe Sn
1 1 1 1
direct
0.000 0.000 0.000
0.250 0.250 0.250
0.750 0.750 0.750
0.500 0.500 0.500

=====

--- two ---
YCdFeSn (PBE, optimized geometry); spin magnetization = 2.5 Bohr magnetons per cell
1.0
0.000 3.489 3.489
3.489 0.000 3.489
3.489 3.489 0.000
Y Cd Fe Sn
1 1 1 1
direct
0.000 0.000 0.000
0.750 0.750 0.750
0.500 0.500 0.500
0.250 0.250 0.250

=====

Which is the most stable structure? two is the most stable.

=====

--- one ---
ZrCdFeSn (PBE, optimized geometry); spin magnetization = 1.0 Bohr magnetons per cell
1.0
0.000 3.347 3.347
3.347 0.000 3.347
3.347 3.347 0.000
Zr Cd Fe Sn
1 1 1 1
direct
0.000 0.000 0.000
0.250 0.250 0.250
0.750 0.750 0.750
0.500 0.500 0.500

=====

--- two ---
ZrCdFeSn (PBE, optimized geometry); spin magnetization = 2.0 Bohr magnetons per cell
1.0
0.000 3.367 3.367
3.367 0.000 3.367
3.367 3.367 0.000
Zr Cd Fe Sn
1 1 1 1
direct
0.000 0.000 0.000
0.750 0.750 0.750
0.500 0.500 0.500
0.250 0.250 0.250

=====

Which is the most stable structure? one is the most stable.

=====

--- one ---
YZnCdFe (PBE, optimized geometry); spin magnetization = 2.6 Bohr magnetons per cell
1.0
0.000 3.380 3.380
3.380 0.000 3.380
3.380 3.380 0.000
Y Zn Cd Fe
1 1 1 1
direct
0.000 0.000 0.000
0.500 0.500 0.500
0.250 0.250 0.250
0.750 0.750 0.750

=====

--- two ---
YZnCdFe (PBE, optimized geometry); spin magnetization = 2.7 Bohr magnetons per cell
1.0
0.000 3.382 3.382
3.382 0.000 3.382
3.382 3.382 0.000
Y Zn Cd Fe
1 1 1 1
direct
0.000 0.000 0.000
0.250 0.250 0.250
0.750 0.750 0.750
0.500 0.500 0.500

=====

Which is the most stable structure? two is the most stable.

=====

--- one ---
ZrZnCdFe (PBE, optimized geometry); spin magnetization = 1.8 Bohr magnetons per cell
1.0
0.000 3.260 3.260
3.260 0.000 3.260
3.260 3.260 0.000
Zr Zn Cd Fe
1 1 1 1
direct
0.000 0.000 0.000
0.500 0.500 0.500
0.250 0.250 0.250
0.750 0.750 0.750

=====

--- two ---
ZrZnCdFe (PBE, optimized geometry); spin magnetization = 2.4 Bohr magnetons per cell
1.0
0.000 3.265 3.265
3.265 0.000 3.265
3.265 3.265 0.000
Zr Zn Cd Fe
1 1 1 1
direct
0.000 0.000 0.000
0.250 0.250 0.250
0.750 0.750 0.750
0.500 0.500 0.500

=====

Which is the most stable structure? two is the most stable.

=====

--- one ---
The following is a PBE calculation of CdGa after structural relaxation, from OQMD via LeMat-Bulk.

POSCAR file:
```
CdGa
1.0
3.072 0.000 0.000
-1.536 2.660 0.000
0.000 0.000 5.129
Cd Ga
1 1
direct
0.000 0.000 0.000
0.667 0.333 0.500
```

=====

--- two ---
The following is a PBE calculation of CdGa after structural relaxation, from OQMD via LeMat-Bulk.

POSCAR file:
```
CdGa
1.0
0.000 2.850 2.850
2.850 0.000 2.850
2.850 2.850 0.000
Cd Ga
1 1
direct
0.000 0.000 0.000
0.500 0.500 0.500
```

=====

--- three ---
The following is a PBE calculation of CdGa after structural relaxation, from OQMD via LeMat-Bulk.

POSCAR file:
```
CdGa
1.0
0.000 3.110 3.110
3.110 0.000 3.110
3.110 3.110 0.000
Cd Ga
1 1
direct
0.000 0.000 0.000
0.750 0.750 0.750
```

=====

Which is the most stable structure? one is the most stable.

=====

--- one ---
GdCd2Ga (PBE, optimized geometry); spin magnetization = 0.0 Bohr magnetons per cell
1.0
4.827 0.000 0.000
0.000 3.368 5.557
0.000 -3.368 5.557
Gd Cd Ga
2 4 2
direct
0.000 0.000 0.000
0.500 0.322 0.322
0.000 0.508 0.508
0.500 0.346 0.820
0.500 0.820 0.346
0.500 0.821 0.821
0.000 0.503 0.992
0.000 0.992 0.503

=====

--- two ---
GdCd2Ga (PBE, optimized geometry); spin magnetization = 0.0 Bohr magnetons per cell
1.0
3.122 -6.035 0.000
3.122 6.035 0.000
0.000 0.000 4.796
Gd Cd Ga
2 4 2
direct
0.182 0.818 0.750
0.818 0.182 0.250
0.185 0.329 0.750
0.329 0.185 0.250
0.671 0.815 0.750
0.815 0.671 0.250
0.336 0.664 0.250
0.664 0.336 0.750

=====

Which is the most stable structure? two is the most stable.

=====

--- one ---
The following is a PBE calculation of LiMgCdGa after structural relaxation, from OQMD via LeMat-Bulk.

POSCAR file:
```
LiMgCdGa
1.0
0.000 3.350 3.350
3.350 0.000 3.350
3.350 3.350 0.000
Li Mg Cd Ga
1 1 1 1
direct
0.000 0.000 0.000
0.500 0.500 0.500
0.250 0.250 0.250
0.750 0.750 0.750
```

=====

--- two ---
The following is a PBE calculation of LiMgCdGa after structural relaxation, from OQMD via LeMat-Bulk.

POSCAR file:
```
LiMgCdGa
1.0
0.000 3.330 3.330
3.330 0.000 3.330
3.330 3.330 0.000
Li Mg Cd Ga
1 1 1 1
direct
0.000 0.000 0.000
0.750 0.750 0.750
0.250 0.250 0.250
0.500 0.500 0.500
```

=====

Which is the most stable structure? one is the most stable.

=====

--- one ---
The following is a PBE calculation of CdGaNO after structural relaxation, from OQMD via LeMat-Bulk.

POSCAR file:
```
CdGaNO
1.0
3.346 0.000 0.000
0.000 5.954 0.000
0.000 0.000 5.548
Cd Ga N O
2 2 2 2
direct
0.000 0.174 0.000
0.000 0.826 0.500
0.500 0.358 0.510
0.500 0.642 0.010
0.500 0.364 0.849
0.500 0.636 0.349
0.000 0.197 0.415
0.000 0.803 0.915
```

=====

--- two ---
The following is a PBE calculation of CdGaNO after structural relaxation, from OQMD via LeMat-Bulk.

POSCAR file:
```
CdGaNO
1.0
3.301 0.000 0.000
0.000 6.040 0.000
0.000 0.000 5.475
Cd Ga N O
2 2 2 2
direct
0.000 0.155 0.000
0.000 0.845 0.500
0.500 0.338 0.490
0.500 0.662 0.990
0.000 0.200 0.404
0.000 0.800 0.904
0.500 0.374 0.842
0.500 0.626 0.342
```

=====

--- three ---
The following is a PBE calculation of CdGaNO after structural relaxation, from OQMD via LeMat-Bulk.

POSCAR file:
```
CdGaNO
1.0
4.024 0.000 0.000
0.000 4.024 0.000
0.000 0.000 7.321
Cd Ga N O
2 2 2 2
direct
0.250 0.250 0.118
0.750 0.750 0.882
0.250 0.750 0.500
0.750 0.250 0.500
0.250 0.250 0.444
0.750 0.750 0.556
0.250 0.750 0.000
0.750 0.250 0.000
```

=====

Which is the most stable structure? two is the most stable.

=====

--- one ---
The following is a PBE calculation of CdGaNO after structural relaxation, from OQMD via LeMat-Bulk.

POSCAR file:
```
CdGaNO
1.0
5.805 0.000 0.000
0.000 6.964 0.000
0.000 0.000 5.347
Cd Ga N O
4 4 4 4
direct
0.071 0.145 0.000
0.429 0.145 0.500
0.571 0.855 0.000
0.929 0.855 0.500
0.091 0.605 0.989
0.409 0.605 0.489
0.591 0.395 0.989
0.909 0.395 0.489
0.104 0.593 0.629
0.396 0.593 0.129
0.604 0.407 0.629
0.896 0.407 0.129
0.047 0.151 0.571
0.453 0.151 0.071
0.547 0.849 0.571
0.953 0.849 0.071
```

=====

--- two ---
The following is a PBE calculation of CdGaNO after structural relaxation, from OQMD via LeMat-Bulk.

POSCAR file:
```
CdGaNO
1.0
3.920 0.000 0.000
0.000 3.920 0.000
0.000 0.000 7.468
Cd Ga N O
2 2 2 2
direct
0.250 0.750 0.000
0.750 0.250 0.000
0.250 0.250 0.402
0.750 0.750 0.598
0.250 0.250 0.154
0.750 0.750 0.846
0.250 0.750 0.500
0.750 0.250 0.500
```

=====

Which is the most stable structure? one is the most stable.

=====

--- one ---
The following is a PBE calculation of Cd2Ga2O5 after structural relaxation, from OQMD via LeMat-Bulk.

POSCAR file:
```
Cd2Ga2O5
1.0
3.725 0.000 0.000
0.000 3.725 0.000
0.000 0.000 8.823
Cd Ga O
2 2 5
direct
0.000 0.000 0.248
0.000 0.000 0.752
0.500 0.500 0.000
0.500 0.500 0.500
0.000 0.000 0.000
0.000 0.500 0.372
0.000 0.500 0.628
0.500 0.000 0.372
0.500 0.000 0.628
```

=====

--- two ---
The following is a PBE calculation of Cd2Ga2O5 after structural relaxation, from OQMD via LeMat-Bulk.

POSCAR file:
```
Cd2Ga2O5
1.0
3.774 0.000 0.000
0.000 3.774 0.000
0.000 0.000 7.521
Cd Ga O
2 2 5
direct
0.000 0.000 0.000
0.000 0.000 0.500
0.500 0.500 0.250
0.500 0.500 0.750
0.000 0.500 0.203
0.000 0.500 0.797
0.500 0.000 0.203
0.500 0.000 0.797
0.500 0.500 0.500
```

=====

Which is the most stable structure? two is the most stable.

=====

--- one ---
Tb2Cd3Ga3 (PBE, optimized geometry); spin magnetization = 0.0 Bohr magnetons per cell
1.0
4.809 0.000 0.000
0.000 3.213 5.589
0.000 -3.213 5.589
Tb Cd Ga
2 3 3
direct
0.000 0.000 0.000
0.500 0.335 0.335
0.000 0.515 0.515
0.500 0.356 0.836
0.500 0.836 0.356
0.000 0.521 0.988
0.000 0.988 0.521
0.500 0.833 0.833

=====

--- two ---
Tb2Cd3Ga3 (PBE, optimized geometry); spin magnetization = 0.0 Bohr magnetons per cell
1.0
6.480 0.000 0.000
-3.240 5.612 0.000
0.000 0.000 4.748
Tb Cd Ga
2 3 3
direct
0.000 0.000 0.000
0.333 0.667 0.500
0.508 0.016 0.000
0.508 0.492 0.000
0.984 0.492 0.000
0.351 0.176 0.500
0.824 0.176 0.500
0.824 0.649 0.500

=====

Which is the most stable structure? one is the most stable.